Entry 1:
# Ce3Os2Ru, relaxed, DFT PBE-GGA
data_Ce3Os2Ru
_chemical_formula_sum 'Ce6 Os4 Ru2'
_cell_length_a 5.1786
_cell_length_b 8.6533
_cell_length_c 6.6622
_cell_angle_alpha 109.81
_cell_angle_beta 112.87
_cell_angle_gamma 90.00
_symmetry_space_group_name_H-M 'P 1'
_symmetry_Int_Tables_number 1
loop_
_symmetry_equiv_pos_as_xyz
'x,y,z'
loop_
_atom_site_label
_atom_site_fract_x
_atom_site_fract_y
_atom_site_fract_z
Ce1 0.1824 0.0997 0.4006
Ce2 0.2181 0.5997 0.4006
Ce3 0.8176 0.9003 0.5994
Ce4 0.2115 0.7500 0.0000
Ce5 0.7885 0.2500 0.0000
Ce6 0.7819 0.4003 0.5994
Os1 0.3935 0.9393 0.7552
Os2 0.3618 0.4393 0.7552
Os3 0.6065 0.0607 0.2448
Os4 0.6382 0.5607 0.2448
Ru1 0.2367 0.2500 0.0000
Ru2 0.7633 0.7500 0.0000
# * E_form: -94 kJ/mol of formula units
# * E: -8.419 eV per atom
# * M_tot: 0.000 Bohr magnetons per cell



Entry 2:
# AcYMg, relaxed, DFT PBE-GGA
data_AcYMg
_chemical_formula_sum 'Ac4 Y4 Mg4'
_cell_length_a 5.4675
_cell_length_b 7.7777
_cell_length_c 10.9936
_cell_angle_alpha 90.00
_cell_angle_beta 90.00
_cell_angle_gamma 90.00
_symmetry_space_group_name_H-M 'P 1'
_symmetry_Int_Tables_number 1
loop_
_symmetry_equiv_pos_as_xyz
'x,y,z'
loop_
_atom_site_label
_atom_site_fract_x
_atom_site_fract_y
_atom_site_fract_z
Y1 0.7500 0.5006 0.1156
Y2 0.2500 0.4994 0.8844
Y3 0.7500 0.9994 0.6156
Y4 0.2500 0.0006 0.3844
Mg1 0.7500 0.7547 0.3769
Mg2 0.7500 0.7453 0.8769
Mg3 0.2500 0.2453 0.6231
Mg4 0.2500 0.2547 0.1231
Ac1 0.2500 0.5010 0.3648
Ac2 0.2500 0.9990 0.8648
Ac3 0.7500 0.4990 0.6352
Ac4 0.7500 0.0010 0.1352
# * E_form: 104 kJ/mol of formula units
# * E: -3.697 eV per atom
# * M_tot: 0.003 Bohr magnetons per cell



Entry 3:
# Na5HoTl6, relaxed, DFT PBE-GGA
data_Na5HoTl6
_chemical_formula_sum 'Na5 Ho1 Tl6'
_cell_length_a 5.2495
_cell_length_b 7.9764
_cell_length_c 8.3014
_cell_angle_alpha 90.01
_cell_angle_beta 71.61
_cell_angle_gamma 90.01
_symmetry_space_group_name_H-M 'P 1'
_symmetry_Int_Tables_number 1
loop_
_symmetry_equiv_pos_as_xyz
'x,y,z'
loop_
_atom_site_label
_atom_site_fract_x
_atom_site_fract_y
_atom_site_fract_z
Na1 0.0000 0.5000 0.0000
Na2 0.6730 0.0000 0.6627
Na3 0.3263 0.5000 0.3395
Na4 0.3270 0.0000 0.3373
Na5 0.6737 0.5000 0.6605
Tl1 0.5000 0.2460 0.0000
Tl2 0.1711 0.7559 0.6688
Tl3 0.8289 0.7559 0.3312
Tl4 0.1711 0.2441 0.6688
Tl5 0.8289 0.2441 0.3312
Tl6 0.5000 0.7540 0.0000
Ho1 0.0000 0.0000 0.0000
# * E_form: -154 kJ/mol of formula units
# * E: -2.248 eV per atom
# * M_tot: 0.000 Bohr magnetons per cell



Entry 4:
# Ac2CuPPd6, relaxed, DFT PBE-GGA
data_Ac2CuPPd6
_chemical_formula_sum 'Ac2 Cu1 P1 Pd6'
_cell_length_a 5.6410
_cell_length_b 8.1342
_cell_length_c 6.9402
_cell_angle_alpha 49.98
_cell_angle_beta 66.01
_cell_angle_gamma 90.00
_symmetry_space_group_name_H-M 'P 1'
_symmetry_Int_Tables_number 1
loop_
_symmetry_equiv_pos_as_xyz
'x,y,z'
loop_
_atom_site_label
_atom_site_fract_x
_atom_site_fract_y
_atom_site_fract_z
Ac1 0.7291 0.2605 0.5416
Ac2 0.2709 0.7395 0.4584
Pd1 0.2383 0.2658 0.0106
Pd2 0.7513 0.2658 0.0107
Pd3 0.7617 0.7342 0.9894
Pd4 0.7508 0.8776 0.4985
Pd5 0.2492 0.1224 0.5015
Pd6 0.2487 0.7342 0.9893
Cu1 0.0000 0.0000 0.0000
P1 0.5000 0.5000 0.0000
# * E_form: -672 kJ/mol of formula units
# * E: -5.584 eV per atom
# * M_tot: 0.000 Bohr magnetons per cell



Entry 5:
# Mo2PCl, relaxed, DFT PBE-GGA
data_Mo2PCl
_chemical_formula_sum 'Mo2 P1 Cl1'
_cell_length_a 4.4418
_cell_length_b 4.4418
_cell_length_c 5.1871
_cell_angle_alpha 75.09
_cell_angle_beta 75.09
_cell_angle_gamma 41.40
_symmetry_space_group_name_H-M 'P 1'
_symmetry_Int_Tables_number 1
loop_
_symmetry_equiv_pos_as_xyz
'x,y,z'
loop_
_atom_site_label
_atom_site_fract_x
_atom_site_fract_y
_atom_site_fract_z
Cl1 0.2540 0.2540 0.2365
Mo1 0.9976 0.9976 0.9950
Mo2 0.7705 0.7705 0.6069
P1 0.4779 0.4779 0.6616
# * energy relative to the elements, uncorrected: 50.9 meV per atom
# * E: -7.179 eV per atom
# * M_tot: 0.000 Bohr magnetons per cell



Entry 6:
# TeMoRh2, relaxed, DFT PBE-GGA
data_TeMoRh2
_chemical_formula_sum 'Te1 Mo1 Rh2'
_cell_length_a 2.9677
_cell_length_b 2.9677
_cell_length_c 7.7199
_cell_angle_alpha 90.00
_cell_angle_beta 90.00
_cell_angle_gamma 90.00
_symmetry_space_group_name_H-M 'P 1'
_symmetry_Int_Tables_number 1
loop_
_symmetry_equiv_pos_as_xyz
'x,y,z'
loop_
_atom_site_label
_atom_site_fract_x
_atom_site_fract_y
_atom_site_fract_z
Te1 0.5000 0.5000 0.2500
Rh1 0.0000 0.0000 0.5249
Rh2 0.0000 0.0000 0.9751
Mo1 0.5000 0.5000 0.7500
# * energy relative to the elements, uncorrected: 75.1 meV per atom
# * E: -7.094 eV per atom
# * M_tot: 0.000 Bohr magnetons per cell



Entry 7:
# MoP2SeS, relaxed, DFT PBE-GGA
data_MoP2SeS
_chemical_formula_sum 'Mo1 P2 Se1 S1'
_cell_length_a 4.6893
_cell_length_b 4.6893
_cell_length_c 4.6288
_cell_angle_alpha 90.00
_cell_angle_beta 90.00
_cell_angle_gamma 90.00
_symmetry_space_group_name_H-M 'P 1'
_symmetry_Int_Tables_number 1
loop_
_symmetry_equiv_pos_as_xyz
'x,y,z'
loop_
_atom_site_label
_atom_site_fract_x
_atom_site_fract_y
_atom_site_fract_z
Mo1 0.5000 0.5000 0.5000
P1 0.0000 0.5000 0.0000
P2 0.5000 0.0000 0.0000
S1 0.0000 0.0000 0.5000
Se1 0.0000 0.0000 0.0000
# * energy relative to the elements, uncorrected: 1334.8 meV per atom
# * E: -4.518 eV per atom
# * M_tot: 2.395 Bohr magnetons per cell



Entry 8:
# Tm2ThSc3S6, relaxed, DFT PBE-GGA
data_Tm2ThSc3S6
_chemical_formula_sum 'Tm2 Th1 Sc3 S6'
_cell_length_a 3.7983
_cell_length_b 7.6521
_cell_length_c 8.5069
_cell_angle_alpha 102.76
_cell_angle_beta 102.90
_cell_angle_gamma 90.00
_symmetry_space_group_name_H-M 'P 1'
_symmetry_Int_Tables_number 1
loop_
_symmetry_equiv_pos_as_xyz
'x,y,z'
loop_
_atom_site_label
_atom_site_fract_x
_atom_site_fract_y
_atom_site_fract_z
S1 0.0018 0.7285 0.0035
S2 0.6662 0.5890 0.3325
S3 0.6758 0.0825 0.3516
S4 0.9982 0.2715 0.9965
S5 0.3242 0.9175 0.6484
S6 0.3338 0.4110 0.6675
Sc1 0.5000 0.5000 0.0000
Sc2 0.8378 0.1638 0.6757
Sc3 0.1622 0.8362 0.3243
Tm1 0.8356 0.6702 0.6712
Tm2 0.1644 0.3298 0.3288
Th1 0.5000 0.0000 0.0000
# * energy relative to the elements, uncorrected: -1859.7 meV per atom
# * E: -6.870 eV per atom
# * M_tot: 0.000 Bohr magnetons per cell



Entry 9:
# BeGeO2, relaxed, DFT PBE-GGA
data_BeGeO2
_chemical_formula_sum 'Be1 Ge1 O2'
_cell_length_a 5.6954
_cell_length_b 5.6954
_cell_length_c 5.6954
_cell_angle_alpha 34.99
_cell_angle_beta 34.99
_cell_angle_gamma 34.99
_symmetry_space_group_name_H-M 'P 1'
_symmetry_Int_Tables_number 1
loop_
_symmetry_equiv_pos_as_xyz
'x,y,z'
loop_
_atom_site_label
_atom_site_fract_x
_atom_site_fract_y
_atom_site_fract_z
Ge1 0.5000 0.5000 0.5000
O1 0.9105 0.9105 0.9105
O2 0.0895 0.0895 0.0895
Be1 0.0000 0.0000 0.0000
# * energy relative to the elements, uncorrected: -1310.6 meV per atom
# * E: -5.876 eV per atom
# * M_tot: 0.000 Bohr magnetons per cell



Entry 10:
# CaTa2Tc, relaxed, DFT PBE-GGA
data_CaTa2Tc
_chemical_formula_sum 'Ca1 Ta2 Tc1'
_cell_length_a 4.2398
_cell_length_b 4.2563
_cell_length_c 4.2563
_cell_angle_alpha 90.00
_cell_angle_beta 90.00
_cell_angle_gamma 90.00
_symmetry_space_group_name_H-M 'P 1'
_symmetry_Int_Tables_number 1
loop_
_symmetry_equiv_pos_as_xyz
'x,y,z'
loop_
_atom_site_label
_atom_site_fract_x
_atom_site_fract_y
_atom_site_fract_z
Ca1 0.5000 0.0000 0.5000
Ta1 0.0000 0.5000 0.5000
Ta2 0.0000 0.0000 0.0000
Tc1 0.5000 0.5000 0.0000
# * E_form: 290 kJ/mol of formula units
# * E: -8.266 eV per atom
# * M_tot: 0.000 Bohr magnetons per cell



Entry 11:
# CoCuCl2, relaxed, DFT PBE-GGA
data_CoCuCl2
_chemical_formula_sum 'Co1 Cu1 Cl2'
_cell_length_a 4.5755
_cell_length_b 4.5755
_cell_length_c 4.5755
_cell_angle_alpha 60.00
_cell_angle_beta 60.00
_cell_angle_gamma 60.00
_symmetry_space_group_name_H-M 'P 1'
_symmetry_Int_Tables_number 1
loop_
_symmetry_equiv_pos_as_xyz
'x,y,z'
loop_
_atom_site_label
_atom_site_fract_x
_atom_site_fract_y
_atom_site_fract_z
Cu1 0.2500 0.2500 0.2500
Cl1 0.0000 0.0000 0.0000
Cl2 0.7500 0.7500 0.7500
Co1 0.5000 0.5000 0.5000
# * energy relative to the elements, uncorrected: 679.9 meV per atom
# * E: -3.044 eV per atom
# * M_tot: 2.146 Bohr magnetons per cell



Entry 12:
# ScU2Ir9, relaxed, DFT PBE-GGA
data_ScU2Ir9
_chemical_formula_sum 'Sc1 U2 Ir9'
_cell_length_a 4.0185
_cell_length_b 4.0185
_cell_length_c 12.0147
_cell_angle_alpha 90.00
_cell_angle_beta 90.00
_cell_angle_gamma 90.00
_symmetry_space_group_name_H-M 'P 1'
_symmetry_Int_Tables_number 1
loop_
_symmetry_equiv_pos_as_xyz
'x,y,z'
loop_
_atom_site_label
_atom_site_fract_x
_atom_site_fract_y
_atom_site_fract_z
U1 0.0000 0.0000 0.6719
U2 0.0000 0.0000 0.3281
Ir1 0.5000 0.5000 0.0000
Ir2 0.0000 0.5000 0.5000
Ir3 0.5000 0.0000 0.5000
Ir4 0.0000 0.5000 0.8349
Ir5 0.0000 0.5000 0.1651
Ir6 0.5000 0.0000 0.1651
Ir7 0.5000 0.0000 0.8349
Ir8 0.5000 0.5000 0.6674
Ir9 0.5000 0.5000 0.3326
Sc1 0.0000 0.0000 0.0000
# * E_form: -768 kJ/mol of formula units
# * E: -9.718 eV per atom
# * M_tot: 0.000 Bohr magnetons per cell